(a)
A relaxed structure of Zr2CdAs. Source: the Alexandria database, functional PBE.

Lattice parameters (Å, degrees): 4.495 4.495 4.022 90.00 90.00 90.00
Fractional coordinates of all 4 atoms:
Zr1 0.000 0.500 0.000
Zr2 0.500 0.000 0.000
Cd1 0.000 0.000 0.500
As1 0.500 0.500 0.500

Output
crystal system = tetragonal

=====

(b)
A relaxed structure of Zr2CdAs. Source: the Alexandria database, functional PBE.

Lattice parameters (Å, degrees): 3.814 3.814 5.871 90.00 90.00 90.00
Fractional coordinates of all 4 atoms:
Zr1 0.000 0.000 0.000
Zr2 0.500 0.500 0.286
Cd1 0.500 0.500 0.780
As1 0.000 0.000 0.478

Output
crystal system = tetragonal

=====

Least stable = (b)

=====

(a)
A relaxed structure of Zr2CdAs. Source: the Alexandria database, functional PBE.

Lattice parameters (Å, degrees): 4.952 4.952 4.952 60.00 60.00 60.00
Fractional coordinates of all 4 atoms:
Zr1 0.000 0.000 0.000
Zr2 0.250 0.250 0.250
Cd1 0.500 0.500 0.500
As1 0.750 0.750 0.750

Output
crystal system = cubic

=====

(b)
A relaxed structure of Zr2CdAs. Source: the Alexandria database, functional PBE.

Lattice parameters (Å, degrees): 7.742 7.742 7.742 27.86 27.86 27.86
Fractional coordinates of all 4 atoms:
Zr1 0.237 0.237 0.237
Zr2 0.763 0.763 0.763
Cd1 0.000 0.000 0.000
As1 0.500 0.500 0.500

Output
crystal system = trigonal

=====

Least stable = (a)

=====

(a)
A relaxed structure of Zr2CdAs. Source: the Alexandria database, functional PBE.

Lattice parameters (Å, degrees): 3.516 3.516 6.617 90.00 90.00 90.00
Fractional coordinates of all 4 atoms:
Zr1 0.000 0.000 0.226
Zr2 0.000 0.000 0.774
Cd1 0.500 0.500 0.500
As1 0.500 0.500 0.000

Output
crystal system = tetragonal

=====

(b)
A relaxed structure of Zr2CdAs. Source: the Alexandria database, functional PBE.

Lattice parameters (Å, degrees): 3.173 3.173 8.732 90.00 90.00 90.00
Fractional coordinates of all 4 atoms:
Zr1 0.000 0.000 0.000
Zr2 0.500 0.500 0.260
Cd1 0.500 0.500 0.735
As1 0.000 0.000 0.478

Output
crystal system = tetragonal

=====

(c)
A relaxed structure of Zr2CdAs. Source: the Alexandria database, functional PBE.

Lattice parameters (Å, degrees): 9.817 9.817 9.817 19.18 19.18 19.18
Fractional coordinates of all 4 atoms:
Zr1 0.000 0.000 0.000
Zr2 0.247 0.247 0.247
Cd1 0.756 0.756 0.756
As1 0.506 0.506 0.506

Output
crystal system = trigonal

=====

Least stable = (c)

=====

(a)
A relaxed structure of Zr2CdAs. Source: the Alexandria database, functional PBE.

Lattice parameters (Å, degrees): 3.215 3.215 8.245 90.00 90.00 101.85
Fractional coordinates of all 4 atoms:
Zr1 0.000 0.000 0.219
Zr2 0.000 0.000 0.781
Cd1 0.500 0.500 0.500
As1 0.500 0.500 0.000

Output
crystal system = orthorhombic

=====

(b)
A relaxed structure of Zr2CdAs. Source: the Alexandria database, functional PBE.

Lattice parameters (Å, degrees): 5.191 5.191 5.191 129.31 129.31 74.52
Fractional coordinates of all 4 atoms:
Zr1 0.250 0.750 0.500
Zr2 0.750 0.250 0.500
Cd1 0.000 0.000 0.000
As1 0.500 0.500 0.000

Output
crystal system = tetragonal

=====

(c)
A relaxed structure of Zr2CdAs. Source: the Alexandria database, functional PBE.

Lattice parameters (Å, degrees): 3.185 3.642 7.286 90.00 98.32 90.00
Fractional coordinates of all 4 atoms:
Zr1 0.086 0.000 0.274
Zr2 0.914 0.000 0.726
Cd1 0.500 0.500 0.000
As1 0.500 0.500 0.500

Output
crystal system = monoclinic

=====

Least stable = (b)

=====

(a)
A relaxed structure of Zr2CdAs. Source: the Alexandria database, functional PBE.

Lattice parameters (Å, degrees): 5.815 5.815 5.815 144.45 132.51 60.71
Fractional coordinates of all 4 atoms:
Zr1 0.000 0.000 0.000
Zr2 0.732 0.232 0.500
Cd1 0.457 0.457 0.000
As1 0.217 0.717 0.500

Output
crystal system = orthorhombic

=====

(b)
A relaxed structure of Zr2CdAs. Source: the Alexandria database, functional PBE.

Lattice parameters (Å, degrees): 4.869 4.869 4.869 60.00 60.00 60.00
Fractional coordinates of all 4 atoms:
Zr1 0.250 0.250 0.250
Zr2 0.750 0.750 0.750
Cd1 0.000 0.000 0.000
As1 0.500 0.500 0.500

Output
crystal system = cubic

=====

Least stable = (b)

=====

(a)
A relaxed structure of CeAs4. Source: the Alexandria database, functional PBE.

Lattice parameters (Å, degrees): 6.336 4.853 8.683 90.00 96.99 90.00
Fractional coordinates of all 10 atoms:
Ce1 0.000 0.000 0.000
Ce2 0.000 0.500 0.500
As1 0.259 0.203 0.756
As2 0.259 0.297 0.256
As3 0.394 0.639 0.087
As4 0.394 0.861 0.587
As5 0.606 0.139 0.413
As6 0.606 0.361 0.913
As7 0.741 0.703 0.744
As8 0.741 0.797 0.244

Output
crystal system = monoclinic

=====

(b)
A relaxed structure of CeAs4. Source: the Alexandria database, functional PBE.

Lattice parameters (Å, degrees): 5.435 5.435 5.435 90.00 90.00 90.00
Fractional coordinates of all 5 atoms:
Ce1 0.000 0.000 0.000
As1 0.000 0.000 0.500
As2 0.000 0.500 0.000
As3 0.500 0.000 0.000
As4 0.500 0.500 0.500

Output
crystal system = cubic

=====

Least stable = (b)